Entry 1:
Computed, not measured: Be2TlHO after structural relaxation at the PBEsol level of DFT.

Its total moment is 0.0 μB/f.u. The volume comes out at 11.14 Å³/atom. For the total energy, the calculation gives -4.203 eV per atom. The space group is P4/mmm.

a b c (Å): 3.2446 3.2446 5.2932
angles (deg): 90.00 90.00 90.00
Last column: nearest neighbours and their distance in Å.
Fractional positions:
Be 0.0000 0.5000 0.0000  2 O 1.62
Be 0.5000 0.0000 0.0000  2 O 1.62
Tl 0.0000 0.0000 0.5000  4 H 2.29
H 0.5000 0.5000 0.5000  4 Tl 2.29
O 0.5000 0.5000 0.0000  4 Be 1.62



Entry 2:
Computed, not measured: TcPdO2F after structural relaxation at the PBEsol level of DFT.

As for the uncorrected formation energy: -0.759 eV/atom. Its total moment is 0.2 μB/f.u. The volume comes out at 11.71 Å³/atom. For the total energy, the calculation gives -6.689 eV per atom. The space group is P4/mmm.

a b c (Å): 3.7624 3.7624 4.1371
angles (deg): 90.00 90.00 90.00
Last column: nearest neighbours and their distance in Å.
Fractional positions:
Tc 0.0000 0.0000 0.0000  4 O 1.88, 2 F 2.07
Pd 0.5000 0.5000 0.5000  4 F 2.66, 8 O 2.80
O 0.0000 0.5000 0.0000  2 Tc 1.88
O 0.5000 0.0000 0.0000  2 Tc 1.88
F 0.0000 0.0000 0.5000  2 Tc 2.07



Entry 3:
Computed, not measured: Be2Zn2F after structural relaxation at the PBEsol level of DFT.

As for the uncorrected formation energy: 0.274 eV/atom. Its total moment is 0.0 μB/f.u. The volume comes out at 13.50 Å³/atom. For the total energy, the calculation gives -2.344 eV per atom. The space group is I4/mmm.

a b c (Å): 6.2896 6.2896 6.2896
angles (deg): 148.55 148.55 45.07
Last column: nearest neighbours and their distance in Å.
Fractional positions:
Be 0.0935 0.0935 0.0000  1 Be 2.17
Be 0.9065 0.9065 0.0000  1 Be 2.17
Zn 0.2500 0.7500 0.5000  4 Zn 2.41, 4 Be 2.49
Zn 0.7500 0.2500 0.5000  4 Zn 2.41, 4 Be 2.49
F 0.5000 0.5000 0.0000  8 Be 2.64



Entry 4:
Computed, not measured: InIr2Cl after structural relaxation at the PBEsol level of DFT.

As for the uncorrected formation energy: 0.525 eV/atom. Its total moment is 0.0 μB/f.u. The volume comes out at 16.19 Å³/atom. The value obtained for the relative energy among the computed polymorphs is 82 meV/atom. For the total energy, the calculation gives -5.635 eV per atom. The space group is Cmmm.

a b c (Å): 2.9572 2.9572 8.6871
angles (deg): 90.00 90.00 121.52
Last column: nearest neighbours and their distance in Å.
Fractional positions:
In 0.0000 0.0000 0.0000  4 Ir 2.66, 6 In 2.89-2.96
Ir 0.5000 0.5000 0.2573  2 Cl 2.56, 2 In 2.66
Ir 0.5000 0.5000 0.7427  2 Cl 2.56, 2 In 2.66
Cl 0.0000 0.0000 0.5000  4 Ir 2.56



Entry 5:
Computed, not measured: ZrAg3 after structural relaxation at the PBEsol level of DFT.

Its total moment is 0.0 μB/f.u. The value obtained for the formation enthalpy at 0 K is 0.014 eV per atom. The volume comes out at 17.86 Å³/atom. For the total energy, the calculation gives -4.741 eV per atom. The space group is P2/m.

a b c (Å): 2.7990 4.7758 5.3785
angles (deg): 90.00 96.32 90.00
Last column: nearest neighbours and their distance in Å.
Fractional positions:
Zr 0.0000 0.0000 0.0000  2 Zr 2.80, 6 Ag 2.89-2.97
Ag 0.3497 0.5000 0.7447  7 Ag 2.78-3.10, 2 Zr 2.97
Ag 0.5000 0.0000 0.5000  6 Ag 2.78-2.80, 2 Zr 2.89
Ag 0.6503 0.5000 0.2553  7 Ag 2.78-3.10, 2 Zr 2.97



Entry 6:
Computed, not measured: KSrNi2 after structural relaxation at the PBEsol level of DFT.

Its total moment is 0.0 μB/f.u. The value obtained for the formation enthalpy at 0 K is 0.693 eV per atom. The volume comes out at 23.05 Å³/atom. For the total energy, the calculation gives -3.129 eV per atom. The space group is P4/mmm.

a b c (Å): 3.3625 3.3625 8.1561
angles (deg): 90.00 90.00 90.00
Last column: nearest neighbours and their distance in Å.
Fractional positions:
K 0.0000 0.0000 0.0000  8 Ni 3.30, 4 K 3.36
Sr 0.0000 0.0000 0.5000  8 Ni 2.98
Ni 0.5000 0.5000 0.2802  4 Sr 2.98, 4 K 3.30
Ni 0.5000 0.5000 0.7198  4 Sr 2.98, 4 K 3.30



Entry 7:
Computed, not measured: AgPt2 after structural relaxation at the PBEsol level of DFT.

Its total moment is 0.0 μB/f.u. The value obtained for the formation enthalpy at 0 K is 0.086 eV per atom. The volume comes out at 16.54 Å³/atom. The value obtained for the relative energy among the computed polymorphs is 89 meV/atom. For the total energy, the calculation gives -5.660 eV per atom. The space group is P6_3/mmc.

a b c (Å): 5.2371 5.2371 8.3542
angles (deg): 90.00 90.00 120.00
Last column: nearest neighbours and their distance in Å.
Fractional positions:
Ag 0.3333 0.6667 0.0622  12 Pt 3.00-3.07, 4 Ag 3.14-3.20
Ag 0.3333 0.6667 0.4378  12 Pt 3.00-3.07, 4 Ag 3.14-3.20
Ag 0.6667 0.3333 0.5622  12 Pt 3.00-3.07, 4 Ag 3.14-3.20
Ag 0.6667 0.3333 0.9378  12 Pt 3.00-3.07, 4 Ag 3.14-3.20
Pt 0.0000 0.0000 0.0000  6 Pt 2.60
Pt 0.0000 0.0000 0.5000  6 Pt 2.60
Pt 0.1705 0.3410 0.7500  6 Pt 2.56-2.68
Pt 0.1705 0.8295 0.7500  6 Pt 2.56-2.68
Pt 0.3410 0.1705 0.2500  6 Pt 2.56-2.68
Pt 0.6590 0.8295 0.7500  6 Pt 2.56-2.68
Pt 0.8295 0.1705 0.2500  6 Pt 2.56-2.68
Pt 0.8295 0.6590 0.2500  6 Pt 2.56-2.68



Entry 8:
Computed, not measured: Zr2ZnP after structural relaxation at the PBEsol level of DFT.

Its total moment is 0.0 μB/f.u. The value obtained for the formation enthalpy at 0 K is -0.604 eV per atom. The volume comes out at 17.08 Å³/atom. For the total energy, the calculation gives -6.992 eV per atom. The space group is C2/m.

a b c (Å): 4.6493 4.6493 3.2438
angles (deg): 93.46 93.46 101.74
Last column: nearest neighbours and their distance in Å.
Fractional positions:
Zr 0.0000 0.5000 0.0000  4 Zn 2.75-2.91, 4 P 2.75-2.91, 2 Zr 2.93
Zr 0.5000 0.0000 0.0000  4 Zn 2.75-2.91, 4 P 2.75-2.91, 2 Zr 2.93
Zn 0.0000 0.0000 0.5000  8 Zr 2.75-2.91, 2 P 2.93
P 0.5000 0.5000 0.5000  8 Zr 2.75-2.91, 2 Zn 2.93